DFT (PBE-GGA) results for an optimized crystal structure of NaLiS2.

Cell lengths 4.763, 4.763, 8.421 Å; angles 73.57, 73.57, 90.00 degrees
Sites, in units of the cell vectors:
Na1 0.000 0.000 0.000
Na2 0.750 0.250 0.500
S1 0.443 0.125 0.250
S2 0.307 0.625 0.250
S3 0.375 0.557 0.750
S4 0.875 0.693 0.750
Li1 0.500 0.500 0.000
Li2 0.250 0.750 0.500

## Properties
DOS at the Fermi energy ... 0.00 states/eV per cell
Space-group type ... I-42d
Volume ... 175.12 Å³ per cell
Magnetic moment ... 0.00 μB/f.u.
E_tot ... -29.0 eV per cell

=====

DFT (PBE-GGA) results for an optimized crystal structure of Na3LiS.

Cell lengths 5.427, 5.427, 5.427 Å; angles 90.00, 90.00, 90.00 degrees
Sites, in units of the cell vectors:
Na1 0.000 0.500 0.000
Na2 0.000 0.000 0.500
Na3 0.500 0.000 0.000
S1 0.000 0.000 0.000
Li1 0.500 0.500 0.500

## Properties
DOS at the Fermi energy ... 0.56 states/eV per cell
Space-group type ... Pm-3m
Volume ... 159.83 Å³ per cell
Magnetic moment ... 0.00 μB/f.u.
E_tot ... -12.1 eV per cell

=====

DFT (PBE-GGA) results for an optimized crystal structure of NaLiS2.

Cell lengths 4.622, 4.622, 4.622 Å; angles 60.00, 60.00, 60.00 degrees
Sites, in units of the cell vectors:
Na1 0.500 0.500 0.500
S1 0.250 0.250 0.250
S2 0.750 0.750 0.750
Li1 0.000 0.000 0.000

## Properties
DOS at the Fermi energy ... 3.04 states/eV per cell
Space-group type ... Fm-3m
Volume ... 69.81 Å³ per cell
Magnetic moment ... 0.00 μB/f.u.
E_tot ... -13.4 eV per cell

=====

DFT (PBE-GGA) results for an optimized crystal structure of Na2LiS2.

Cell lengths 8.482, 8.482, 15.626 Å; angles 90.00, 90.00, 90.00 degrees
Sites, in units of the cell vectors:
Na1 0.500 0.500 0.701
Na2 0.500 0.500 0.299
Li1 0.500 0.500 0.000
S1 0.500 0.500 0.144
S2 0.500 0.500 0.856

## Properties
DOS at the Fermi energy ... 12.17 states/eV per cell
Space-group type ... P4/mmm
Volume ... 1124.22 Å³ per cell
Magnetic moment ... 1.01 μB/f.u.
E_tot ... -12.1 eV per cell

=====

DFT (PBE-GGA) results for an optimized crystal structure of Na3LiS2.

Cell lengths 6.568, 5.758, 7.923 Å; angles 111.31, 114.49, 90.00 degrees
Sites, in units of the cell vectors:
Na1 0.365 0.686 0.373
Na2 0.635 0.314 0.627
Na3 0.992 0.814 0.627
Na4 0.008 0.186 0.373
Na5 0.500 0.750 0.000
Na6 0.500 0.250 0.000
Li1 0.000 0.250 0.000
Li2 0.000 0.750 0.000
S1 0.331 0.112 0.223
S2 0.669 0.888 0.777
S3 0.107 0.388 0.777
S4 0.893 0.612 0.223

## Properties
DOS at the Fermi energy ... 0.00 states/eV per cell
Space-group type ... Ibam
Volume ... 250.03 Å³ per cell
Magnetic moment ... 0.00 μB/f.u.
E_tot ... -41.4 eV per cell

=====

DFT (PBE-GGA) results for an optimized crystal structure of NaLiS5.

Cell lengths 5.673, 5.673, 11.311 Å; angles 104.89, 104.89, 95.77 degrees
Sites, in units of the cell vectors:
Na1 0.649 0.351 0.750
Na2 0.351 0.649 0.250
Li1 0.000 0.000 0.000
Li2 0.000 0.000 0.500
S1 0.139 0.396 0.724
S2 0.590 0.872 0.530
S3 0.396 0.139 0.224
S4 0.233 0.767 0.750
S5 0.128 0.410 0.970
S6 0.872 0.590 0.030
S7 0.767 0.233 0.250
S8 0.604 0.861 0.776
S9 0.410 0.128 0.470
S10 0.861 0.604 0.276

## Properties
DOS at the Fermi energy ... 2.55 states/eV per cell
Space-group type ... C2/c
Volume ... 334.49 Å³ per cell
Magnetic moment ... 0.00 μB/f.u.
E_tot ... -53.0 eV per cell

=====

DFT (PBE-GGA) results for an optimized crystal structure of Na2LiS8.

Cell lengths 12.278, 9.997, 9.997 Å; angles 42.78, 29.92, 29.92 degrees
Sites, in units of the cell vectors:
Na1 0.420 0.200 0.200
Na2 0.580 0.800 0.800
Li1 0.000 0.000 0.000
S1 0.000 0.138 0.657
S2 0.000 0.343 0.862
S3 0.966 0.190 0.190
S4 0.034 0.810 0.810
S5 0.000 0.657 0.138
S6 0.000 0.862 0.343
S7 0.256 0.451 0.451
S8 0.744 0.549 0.549

## Properties
DOS at the Fermi energy ... 2.12 states/eV per cell
Space-group type ... C2/m
Volume ... 304.62 Å³ per cell
Magnetic moment ... 0.00 μB/f.u.
E_tot ... -40.7 eV per cell

=====

DFT (PBE-GGA) results for an optimized crystal structure of NaLi2S.

Cell lengths 3.932, 3.932, 7.519 Å; angles 74.84, 74.84, 60.00 degrees
Sites, in units of the cell vectors:
Na1 0.512 0.512 0.464
Li1 0.035 0.035 0.896
Li2 0.294 0.294 0.117
S1 0.659 0.659 0.023

## Properties
DOS at the Fermi energy ... 0.93 states/eV per cell
Space-group type ... R3m
Volume ... 95.99 Å³ per cell
Magnetic moment ... 0.00 μB/f.u.
E_tot ... -12.6 eV per cell

=====

DFT (PBE-GGA) results for an optimized crystal structure of NaLiS2.

Cell lengths 8.815, 8.815, 8.815 Å; angles 21.81, 21.81, 21.81 degrees
Sites, in units of the cell vectors:
Na1 0.500 0.500 0.500
S1 0.913 0.913 0.913
S2 0.087 0.087 0.087
Li1 0.000 0.000 0.000

## Properties
DOS at the Fermi energy ... 3.35 states/eV per cell
Space-group type ... R-3m
Volume ... 82.87 Å³ per cell
Magnetic moment ... 0.00 μB/f.u.
E_tot ... -12.6 eV per cell

=====

DFT (PBE-GGA) results for an optimized crystal structure of NaLiS4.

Cell lengths 5.610, 5.610, 9.718 Å; angles 106.78, 106.78, 90.00 degrees
Sites, in units of the cell vectors:
Na1 0.875 0.625 0.250
Na2 0.125 0.375 0.750
Li1 0.375 0.125 0.250
Li2 0.625 0.875 0.750
S1 0.278 0.706 0.056
S2 0.278 0.351 0.056
S3 0.851 0.778 0.556
S4 0.206 0.778 0.556
S5 0.722 0.294 0.944
S6 0.722 0.649 0.944
S7 0.149 0.222 0.444
S8 0.794 0.222 0.444

## Properties
Space-group type ... I4_1/amd
Volume ... 279.26 Å³ per cell
Magnetic moment ... 0.00 μB/f.u.
E_tot ... -44.8 eV per cell

=====

DFT (PBE-GGA) results for an optimized crystal structure of NaLi2S2.

Cell lengths 7.387, 7.387, 2.925 Å; angles 90.00, 90.00, 90.00 degrees
Sites, in units of the cell vectors:
Na1 0.000 0.000 0.000
Na2 0.500 0.500 0.000
S1 0.176 0.676 0.500
S2 0.676 0.824 0.500
S3 0.824 0.324 0.500
S4 0.324 0.176 0.500
Li1 0.377 0.877 0.000
Li2 0.877 0.623 0.000
Li3 0.623 0.123 0.000
Li4 0.123 0.377 0.000

## Properties
DOS at the Fermi energy ... 1.02 states/eV per cell
Space-group type ... P4/mbm
Volume ... 159.62 Å³ per cell
Magnetic moment ... 0.00 μB/f.u.
E_tot ... -36.1 eV per cell

=====

DFT (PBE-GGA) results for an optimized crystal structure of NaLi2S2.

Cell lengths 4.694, 4.694, 5.555 Å; angles 65.01, 65.01, 90.00 degrees
Sites, in units of the cell vectors:
Na1 0.000 0.000 0.000
S1 0.750 0.250 0.500
S2 0.250 0.750 0.500
Li1 0.318 0.318 0.364
Li2 0.682 0.682 0.636

## Properties
DOS at the Fermi energy ... 2.75 states/eV per cell
Space-group type ... I4/mmm
Volume ... 98.15 Å³ per cell
Magnetic moment ... 0.00 μB/f.u.
E_tot ... -17.4 eV per cell

=====

DFT (PBE-GGA) results for an optimized crystal structure of NaLi2S.

Cell lengths 7.352, 7.352, 7.358 Å; angles 60.03, 60.03, 90.00 degrees
Sites, in units of the cell vectors:
Na1 0.500 0.500 0.000
Na2 0.250 0.750 0.500
S1 0.000 0.000 0.000
S2 0.750 0.250 0.500
Li1 0.875 0.125 0.250
Li2 0.875 0.625 0.250
Li3 0.375 0.125 0.750
Li4 0.875 0.125 0.750

## Properties
DOS at the Fermi energy ... 0.74 states/eV per cell
Space-group type ... I4_1/amd
Volume ... 281.47 Å³ per cell
Magnetic moment ... 0.00 μB/f.u.
E_tot ... -23.5 eV per cell

=====

DFT (PBE-GGA) results for an optimized crystal structure of Na2LiS2.

Cell lengths 6.951, 6.951, 4.118 Å; angles 90.00, 90.00, 90.00 degrees
Sites, in units of the cell vectors:
Na1 0.148 0.648 0.500
Na2 0.648 0.852 0.500
Na3 0.852 0.352 0.500
Na4 0.352 0.148 0.500
S1 0.343 0.843 0.000
S2 0.843 0.657 0.000
S3 0.657 0.157 0.000
S4 0.157 0.343 0.000
Li1 0.000 0.000 0.000
Li2 0.500 0.500 0.000

## Properties
DOS at the Fermi energy ... 0.32 states/eV per cell
Space-group type ... P4/mbm
Volume ... 198.96 Å³ per cell
Magnetic moment ... 1.00 μB/f.u.
E_tot ... -33.6 eV per cell

=====

DFT (PBE-GGA) results for an optimized crystal structure of Na3LiSb3S8.

Cell lengths 7.582, 7.576, 8.181 Å; angles 117.56, 89.98, 120.04 degrees
Sites, in units of the cell vectors:
Na1 0.000 0.000 0.000
Na2 0.000 0.500 0.000
Na3 0.500 0.500 0.000
Li1 0.000 0.000 0.500
Sb1 0.500 0.000 0.500
Sb2 0.500 0.500 0.500
Sb3 0.000 0.500 0.500
S1 0.257 0.514 0.272
S2 0.743 0.486 0.728
S3 0.766 0.532 0.290
S4 0.234 0.468 0.710
S5 0.766 0.024 0.290
S6 0.234 0.976 0.710
S7 0.259 0.025 0.290
S8 0.741 0.975 0.710

## Properties
DOS at the Fermi energy ... 6.12 states/eV per cell
Space-group type ... C2/m
Volume ... 343.90 Å³ per cell
Magnetic moment ... 0.00 μB/f.u.
E_tot ... -59.3 eV per cell

=====

DFT (PBE-GGA) results for an optimized crystal structure of Na3LiSb2S6.

Cell lengths 6.629, 6.629, 7.104 Å; angles 99.02, 99.02, 120.00 degrees
Sites, in units of the cell vectors:
Na1 0.170 0.830 0.500
Na2 0.830 0.170 0.500
Na3 0.500 0.500 0.500
Li1 0.000 0.000 0.000
Sb1 0.333 0.667 0.000
Sb2 0.667 0.333 0.000
S1 0.926 0.589 0.780
S2 0.736 0.736 0.224
S3 0.074 0.411 0.220
S4 0.589 0.926 0.780
S5 0.264 0.264 0.776
S6 0.411 0.074 0.220

## Properties
DOS at the Fermi energy ... 6.18 states/eV per cell
Space-group type ... C2/m
Volume ... 256.71 Å³ per cell
Magnetic moment ... 0.00 μB/f.u.
E_tot ... -47.5 eV per cell

=====

DFT (PBE-GGA) results for an optimized crystal structure of NaLiSbS2.

Cell lengths 3.864, 7.568, 8.521 Å; angles 108.32, 90.00, 90.00 degrees
Sites, in units of the cell vectors:
Na1 0.000 0.500 0.750
Na2 0.000 0.500 0.250
Li1 0.000 0.000 0.000
Li2 0.000 0.000 0.500
Sb1 0.500 0.000 0.250
Sb2 0.500 0.000 0.750
S1 0.500 0.756 0.933
S2 0.500 0.244 0.567
S3 0.500 0.756 0.433
S4 0.500 0.244 0.067

## Properties
DOS at the Fermi energy ... 2.62 states/eV per cell
Space-group type ... P2/m
Volume ... 236.52 Å³ per cell
Magnetic moment ... 0.00 μB/f.u.
E_tot ... -37.7 eV per cell

=====

DFT (PBE-GGA) results for an optimized crystal structure of NaLiSbS2.

Cell lengths 5.333, 5.371, 5.333 Å; angles 90.00, 90.00, 90.00 degrees
Sites, in units of the cell vectors:
Sb1 0.000 0.000 0.000
S1 0.000 0.000 0.500
S2 0.500 0.000 0.000
Li1 0.500 0.500 0.500
Na1 0.000 0.500 0.000

## Properties
DOS at the Fermi energy ... 2.59 states/eV per cell
Space-group type ... P4/mmm
Volume ... 152.78 Å³ per cell
Magnetic moment ... 0.00 μB/f.u.
E_tot ... -15.5 eV per cell

=====

DFT (PBE-GGA) results for an optimized crystal structure of NaLiSc2S4.

Cell lengths 3.771, 6.496, 13.286 Å; angles 90.00, 90.00, 106.87 degrees
Sites, in units of the cell vectors:
Na1 0.110 0.220 0.750
Na2 0.890 0.780 0.250
Li1 0.837 0.674 0.750
Li2 0.163 0.326 0.250
Sc1 0.367 0.733 0.564
Sc2 0.633 0.267 0.064
Sc3 0.633 0.267 0.436
Sc4 0.367 0.733 0.936
S1 0.267 0.535 0.108
S2 0.733 0.465 0.608
S3 0.733 0.465 0.892
S4 0.267 0.535 0.392
S5 0.000 0.000 0.500
S6 0.000 0.000 0.000
S7 0.441 0.881 0.750
S8 0.559 0.119 0.250

## Properties
Space-group type ... Cmcm
Volume ... 311.41 Å³ per cell
Magnetic moment ... 0.00 μB/f.u.
E_tot ... -91.7 eV per cell

=====

DFT (PBE-GGA) results for an optimized crystal structure of Na3Li3SeS2.

Cell lengths 4.171, 6.750, 6.750 Å; angles 120.00, 90.00, 90.00 degrees
Sites, in units of the cell vectors:
Na1 0.000 0.000 0.431
Na2 0.000 0.569 0.569
Na3 0.000 0.431 0.000
Li1 0.500 0.735 0.000
Li2 0.500 0.265 0.265
Li3 0.500 0.000 0.735
Se1 0.000 0.000 0.000
S1 0.500 0.333 0.667
S2 0.500 0.667 0.333

## Properties
DOS at the Fermi energy ... 0.00 states/eV per cell
Space-group type ... P-62m
Volume ... 164.59 Å³ per cell
Magnetic moment ... 0.00 μB/f.u.
E_tot ... -31.9 eV per cell

=====

DFT (PBE-GGA) results for an optimized crystal structure of NaLiSeS2.

Cell lengths 7.218, 5.383, 5.928 Å; angles 116.17, 90.00, 90.00 degrees
Sites, in units of the cell vectors:
Na1 0.231 0.500 0.750
Na2 0.769 0.500 0.250
Li1 0.466 0.000 0.250
Li2 0.534 0.000 0.750
Se1 0.000 0.000 0.000
Se2 0.000 0.000 0.500
S1 0.698 0.734 0.923
S2 0.698 0.266 0.577
S3 0.302 0.734 0.423
S4 0.302 0.266 0.077

## Properties
DOS at the Fermi energy ... 2.79 states/eV per cell
Space-group type ... P2/c
Volume ... 206.71 Å³ per cell
Magnetic moment ... 0.00 μB/f.u.
E_tot ... -35.4 eV per cell

=====

DFT (PBE-GGA) results for an optimized crystal structure of Na3Li3Se2S.

Cell lengths 4.177, 6.930, 6.930 Å; angles 120.00, 90.00, 90.00 degrees
Sites, in units of the cell vectors:
Na1 0.000 0.000 0.414
Na2 0.000 0.586 0.586
Na3 0.000 0.414 0.000
Li1 0.500 0.750 0.000
Li2 0.500 0.250 0.250
Li3 0.500 0.000 0.750
Se1 0.500 0.333 0.667
Se2 0.500 0.667 0.333
S1 0.000 0.000 0.000

## Properties
DOS at the Fermi energy ... 0.00 states/eV per cell
Space-group type ... P-62m
Volume ... 173.73 Å³ per cell
Magnetic moment ... 0.00 μB/f.u.
E_tot ... -31.0 eV per cell

=====

DFT (PBE-GGA) results for an optimized crystal structure of Na2LiSiS4.

Cell lengths 6.504, 5.953, 5.953 Å; angles 72.64, 56.89, 56.89 degrees
Sites, in units of the cell vectors:
Na1 0.000 0.500 0.500
Na2 0.500 0.500 0.500
Li1 0.000 0.000 0.000
Si1 0.500 0.000 0.000
S1 0.130 0.340 0.000
S2 0.870 0.000 0.660
S3 0.530 0.000 0.340
S4 0.470 0.660 0.000

## Properties
DOS at the Fermi energy ... 8.04 states/eV per cell
Space-group type ... I-42m
Volume ... 161.71 Å³ per cell
Magnetic moment ... 0.00 μB/f.u.
E_tot ... -33.6 eV per cell